1.
Below is a geometry-optimized As2PbW structure, with properties calculated at the PBE level.

Calculated values
SG: I-42d
E in eV/atom: -6.031
V in Å³/atom: 29.17
Crystal system: tetragonal
Spin magnetization in μB per formula unit: 0.00

```
As2PbW
1.0
6.1156 0.0000 0.0000
0.0000 6.1156 0.0000
3.0578 3.0578 6.2396
W As Pb
2 4 2
Cartesian
3.0578 6.1156 3.1198 W
3.0578 3.0578 0.0000 W
7.6444 7.1609 4.6797 As
2.0125 4.5867 1.5599 As
4.1031 1.5289 1.5599 As
4.5867 5.0702 4.6797 As
6.1156 3.0578 3.1198 Pb
0.0000 0.0000 0.0000 Pb
```

---

2.
Below is a geometry-optimized SmTl2Ga structure, with properties calculated at the PBE level.

Calculated values
SG: R-3m
V in Å³/atom: 29.45
Crystal system: trigonal
Energy relative to the lowest polymorph listed for this composition in meV/atom: 461
Spin magnetization in μB per formula unit: 0.00

```
SmTl2Ga
1.0
3.4866 0.0000 0.0000
1.7433 3.0195 0.0000
1.7433 1.0065 11.1897
Ga Tl Sm
1 2 1
Cartesian
3.4866 2.0130 5.5949 Ga
5.2300 3.0195 3.1766 Tl
1.7433 1.0065 8.0131 Tl
0.0000 0.0000 0.0000 Sm
```